1.
VASP calculation (PBE) on a relaxed structure of LaZn2Os.

Geometry as extended XYZ:
```
4
Lattice="-1.207 2.760 -1.514 0.195 -1.553 -2.986 -6.514 -2.398 0.822" Properties=species:S:1:pos:R:3 pbc="T T T"
Os -5.755 -1.329 -1.587
La -3.497 -1.288 0.442
Zn -6.358 -2.341 0.803
Zn -1.687 0.168 -2.101
```

---

2.
VASP calculation (PBE) on a relaxed structure of ZnOsCl2.

Geometry as extended XYZ:
```
4
Lattice="-0.983 -4.371 -1.212 0.159 -1.550 4.372 -2.691 3.568 -1.252" Properties=species:S:1:pos:R:3 pbc="T T T"
Zn -2.043 -1.882 -0.442
Cl -0.412 -2.961 1.580
Cl 0.000 0.000 0.000
Os -1.473 -0.472 2.350
```

**Formation energy without anion corrections**: 96 kJ/mol of atoms
**Offset from the most stable computed form**: 999.7 meV/atom

---

3.
VASP calculation (PBE) on a relaxed structure of La2BeSnI.

Geometry as extended XYZ:
```
5
Lattice="-3.827 -4.171 2.596 3.647 -4.652 -2.098 3.320 0.229 5.263" Properties=species:S:1:pos:R:3 pbc="T T T"
La -1.914 -2.085 1.298
La 1.660 0.114 2.632
Sn 0.000 0.000 0.000
I 1.823 -2.326 -1.049
Be 1.570 -4.297 2.880
```

**Formation energy without anion corrections**: 65 kJ/mol of atoms
**Offset from the most stable computed form**: 768.3 meV/atom

---

4.
VASP calculation (PBE) on a relaxed structure of K4Ge3Cl10.

Geometry as extended XYZ:
```
17
Lattice="-1.676 -3.562 -3.514 4.997 -1.376 -0.989 -2.530 -10.246 15.556" Properties=species:S:1:pos:R:3 pbc="T T T"
Ge 1.046 -11.459 7.155
Ge -0.255 -3.725 3.898
Ge 0.000 0.000 0.000
Cl 0.915 -13.373 9.158
Cl -1.090 -5.459 2.091
Cl 2.247 -4.366 3.354
Cl -0.838 -1.781 -1.757
Cl -1.456 -10.818 7.699
Cl 2.499 -0.688 -0.494
Cl -0.374 -5.476 5.730
Cl -0.124 -1.811 1.895
Cl 1.165 -9.708 5.323
Cl 1.881 -9.725 8.961
K -0.754 -11.025 11.536
K 1.313 -7.548 3.062
K 1.545 -4.159 -0.483
K -0.522 -7.637 7.990
```

**Formation energy without anion corrections**: -130 kJ/mol of atoms

---

5.
VASP calculation (PBE) on a relaxed structure of Mg2NiSn.

Geometry as extended XYZ:
```
4
Lattice="-0.111 0.580 3.142 -2.455 -2.027 0.288 4.694 -5.518 1.184" Properties=species:S:1:pos:R:3 pbc="T T T"
Mg 0.930 -1.094 0.235
Mg 3.764 -4.425 0.949
Sn 1.064 -3.483 2.307
Ni -1.283 -0.723 1.715
```

---

6.
VASP calculation (PBE) on a relaxed structure of CsSrN3.

Geometry as extended XYZ:
```
5
Lattice="4.398 0.000 0.000 0.000 4.398 0.000 0.000 0.000 4.398" Properties=species:S:1:pos:R:3 pbc="T T T"
N 2.199 0.000 0.000
N 0.000 0.000 2.199
N 0.000 2.199 0.000
Sr 2.199 2.199 2.199
Cs 0.000 0.000 0.000
```

**Formation energy without anion corrections**: 182 kJ/mol of atoms

---

7.
VASP calculation (PBE) on a relaxed structure of SiAgP2.

Geometry as extended XYZ:
```
4
Lattice="-1.955 1.712 1.060 -0.935 -2.646 -0.048 3.183 -1.270 7.922" Properties=species:S:1:pos:R:3 pbc="T T T"
P 0.098 -0.039 0.243
P 1.494 -0.596 3.718
Ag 0.942 -1.419 6.447
Si -0.649 -0.784 2.486
```

**Formation energy without anion corrections**: 51 kJ/mol of atoms

---

8.
VASP calculation (PBE) on a relaxed structure of Tl2RhCl4.

Geometry as extended XYZ:
```
7
Lattice="6.123 -0.108 -2.640 -3.444 5.539 -1.388 -0.067 0.108 6.667" Properties=species:S:1:pos:R:3 pbc="T T T"
Tl 0.462 4.127 -0.694
Tl 2.150 1.412 3.333
Cl 1.974 1.228 0.000
Cl 0.637 4.311 2.640
Cl -2.681 4.311 0.433
Cl -0.830 1.336 4.846
Rh 0.000 0.000 0.000
```

**Formation energy without anion corrections**: -68 kJ/mol of atoms

---

9.
VASP calculation (PBE) on a relaxed structure of PmDyCuSb.

Geometry as extended XYZ:
```
4
Lattice="-0.552 2.069 -4.733 -4.402 2.451 -1.266 -0.021 5.161 -0.592" Properties=species:S:1:pos:R:3 pbc="T T T"
Pm -2.488 4.841 -3.295
Sb -3.732 7.261 -4.943
Cu -1.244 2.420 -1.648
Dy 0.000 0.000 0.000
```

**Formation energy without anion corrections**: -47 kJ/mol of atoms

---

10.
VASP calculation (PBE) on a relaxed structure of BaLa3Ir.

Geometry as extended XYZ:
```
20
Lattice="0.000 7.698 7.698 7.698 0.000 7.698 7.698 7.698 0.000" Properties=species:S:1:pos:R:3 pbc="T T T"
Ba 1.924 5.773 5.773
Ba 5.773 5.773 1.924
Ba 5.773 1.924 5.773
Ba 1.924 1.924 1.924
La 11.547 11.547 14.345
La 7.698 7.698 10.496
La 7.698 10.496 7.698
La 7.698 7.698 4.899
La 7.698 4.899 7.698
La 8.748 11.547 11.547
La 11.547 11.547 8.748
La 11.547 8.748 11.547
La 14.345 11.547 11.547
La 10.496 7.698 7.698
La 11.547 14.345 11.547
La 4.899 7.698 7.698
Ir 9.622 9.622 9.622
Ir 9.622 5.773 5.773
Ir 5.773 5.773 9.622
Ir 5.773 9.622 5.773
```

**Offset from the most stable computed form**: 161.1 meV/atom

---

11.
VASP calculation (PBE) on a relaxed structure of SrCaCo2.

Geometry as extended XYZ:
```
4
Lattice="3.368 0.025 0.000 -0.022 3.368 0.000 0.000 0.000 8.480" Properties=species:S:1:pos:R:3 pbc="T T T"
Ca 1.673 1.696 7.066
Co 0.000 0.000 0.751
Co 1.673 1.696 1.283
Sr 0.000 0.000 3.621
```

**Offset from the most stable computed form**: 135.6 meV/atom

---

12.
VASP calculation (PBE) on a relaxed structure of LiOs2Se.

Geometry as extended XYZ:
```
4
Lattice="-0.307 -0.963 -4.389 4.330 -0.848 -0.903 -2.425 -1.893 3.289" Properties=species:S:1:pos:R:3 pbc="T T T"
Os 0.000 0.000 0.000
Os 1.958 -1.823 -0.130
Se 2.011 -0.905 -2.646
Li -0.361 -1.881 -1.873
```

**Formation energy without anion corrections**: 48 kJ/mol of atoms

---

For reference, VASP energy by record: -4.61 -3.06 -3.15 -3.50 -3.37 -3.62 -4.24 -3.49 -4.88 -5.27 -4.13 -6.46 eV/atom.